(1)
Density functional theory data (GGA-PBE) for a geometry-optimized KDyHgO3 structure.

Lattice parameters (Å, degrees): 7.0063 7.0063 8.9317 90.00 90.00 150.34
Sites, in units of the cell vectors:
K: 0.1756 0.8244 0.7500
K: 0.8244 0.1756 0.2500
Dy: 0.5000 0.5000 0.0000
Dy: 0.5000 0.5000 0.5000
Hg: 0.1140 0.8860 0.2500
Hg: 0.8860 0.1140 0.7500
O: 0.1094 0.8906 0.0216
O: 0.1094 0.8906 0.4784
O: 0.4722 0.5278 0.2500
O: 0.5278 0.4722 0.7500
O: 0.8906 0.1094 0.5216
O: 0.8906 0.1094 0.9784

Output
Size of the total moment ... 0.0 μB per formula unit
DFT total energy ... -5.36 eV per atom
Calculated volume ... 18.08 A^3/atom

---

(2)
Density functional theory data (GGA-PBE) for a geometry-optimized ScCoAs2 structure.

Lattice parameters (Å, degrees): 4.5198 4.5198 4.5198 60.00 60.00 60.00
Sites, in units of the cell vectors:
Sc: 0.0000 0.0000 0.0000
Co: 0.2500 0.2500 0.2500
As: 0.5000 0.5000 0.5000
As: 0.7500 0.7500 0.7500

Output
Size of the total moment ... 0.0 μB per formula unit
DFT total energy ... -5.78 eV per atom
Calculated volume ... 16.32 A^3/atom

---

- What is the formula in the second record?
  ScCoAs2

---

- The lowest DFT total energy belongs to which entry?
  ScCoAs2